Density functional theory data (PBE+U) for a relaxed V2SiIO crystal.

- final energy (eV per atom) = -4.23
- size of the total moment (μB per formula unit) = 6.1

Unit cell a=5.394 b=5.394 c=3.904 alpha=90.00 beta=90.00 gamma=90.00
Space group P4/mmm (No. 123)
Inequivalent atoms, fractional coordinates:
1 V 0.000 0.500 0.000
2 Si 0.000 0.000 0.500
3 I 0.500 0.500 0.000
4 O 0.500 0.500 0.500